No. 1
Density functional theory data (PBE) for a geometry-optimized AlReTe2 structure.

Values from the calculation:
* SG: No. 12
* crystal system: monoclinic

Cell lengths 6.281, 6.281, 2.893 Å; angles 71.23, 71.23, 112.38 degrees
Atoms (fractional coordinates):
Re1 0.000 0.500 0.500
Te1 0.000 0.000 0.000
Te2 0.500 0.500 0.000
Al1 0.500 0.000 0.500

No. 2
Density functional theory data (PBE) for a geometry-optimized AlReTe2 structure.

Values from the calculation:
* SG: No. 216
* crystal system: cubic

Cell lengths 4.861, 4.861, 4.861 Å; angles 60.00, 60.00, 60.00 degrees
Atoms (fractional coordinates):
Re1 0.250 0.250 0.250
Te1 0.000 0.000 0.000
Te2 0.750 0.750 0.750
Al1 0.500 0.500 0.500

No. 3
Density functional theory data (PBE) for a geometry-optimized Al2ReTe structure.

Values from the calculation:
* SG: No. 139
* crystal system: tetragonal

Cell lengths 5.083, 5.083, 5.083 Å; angles 133.27, 133.27, 68.24 degrees
Atoms (fractional coordinates):
Re1 0.250 0.750 0.500
Te1 0.750 0.250 0.500
Al1 0.000 0.000 0.000
Al2 0.500 0.500 0.000

No. 4
Density functional theory data (PBE) for a geometry-optimized Al2ReTe structure.

Values from the calculation:
* SG: No. 8
* crystal system: monoclinic

Cell lengths 4.772, 4.772, 6.329 Å; angles 74.54, 74.54, 39.10 degrees
Atoms (fractional coordinates):
Re1 0.528 0.528 0.619
Te1 0.157 0.157 0.274
Al1 0.019 0.019 0.935
Al2 0.797 0.797 0.672

No. 5
Density functional theory data (PBE) for a geometry-optimized Al2ReTe structure.

Values from the calculation:
* SG: No. 123
* crystal system: tetragonal

Cell lengths 3.357, 3.355, 6.238 Å; angles 90.00, 90.00, 90.00 degrees
Atoms (fractional coordinates):
Re1 0.500 0.500 0.250
Te1 0.500 0.500 0.750
Al1 0.000 0.000 0.044
Al2 0.000 0.000 0.456

No. 6
Density functional theory data (PBE) for a geometry-optimized Al2ReTe structure.

Values from the calculation:
* SG: No. 12
* crystal system: monoclinic

Cell lengths 4.713, 4.713, 5.081 Å; angles 76.18, 76.18, 42.16 degrees
Atoms (fractional coordinates):
Re1 0.750 0.750 0.750
Te1 0.250 0.250 0.250
Al1 0.020 0.020 0.933
Al2 0.480 0.480 0.567

Number 1: total energy -4.710 eV per atom. Number 2: total energy -4.708 eV per atom. Number 3: total energy -5.327 eV per atom. Number 4: total energy -5.615 eV per atom. Number 5: total energy -5.629 eV per atom. Number 6: total energy -5.490 eV per atom.